Version A
The following is a DFT calculation (PBE) of a relaxed structure of As2AuBrN.

Output
- Theoretical density: 8.2 g/cm³

The structure in POSCAR format:
```
As2AuBrN
1.0
-1.0332 -4.1961 1.2473
1.8498 0.7430 4.0320
-3.9012 1.4151 1.5290
As Au Br N
2 1 1 1
direct
0.0000 0.5000 0.0000
0.5000 0.0000 0.0000
0.5000 0.5000 0.5000
0.0000 0.0000 0.5000
0.0000 0.0000 0.0000
```

Version B
The following is a DFT calculation (PBE) of a relaxed structure of As2AuBrN.

Output
- Theoretical density: 7.3 g/cm³

The structure in POSCAR format:
```
As2AuBrN
1.0
5.2474 0.0000 0.0000
0.0000 3.6216 0.0000
0.0000 0.0000 5.2474
As Au Br N
2 1 1 1
direct
0.0000 0.0000 0.5000
0.5000 0.0000 0.0000
0.5000 0.5000 0.5000
0.0000 0.0000 0.0000
0.0000 0.5000 0.0000
```

Version C
The following is a DFT calculation (PBE) of a relaxed structure of As2AuBrN.

Output
- Theoretical density: 5.1 g/cm³

The structure in POSCAR format:
```
As2AuBrN
1.0
5.0348 0.0000 0.0000
0.0000 5.0348 0.0000
0.0000 0.0000 5.6170
As Au Br N
2 1 1 1
direct
0.0000 0.5000 0.0000
0.5000 0.0000 0.0000
0.0000 0.0000 0.0000
0.0000 0.0000 0.5000
0.5000 0.5000 0.5000
```

In terms of stability, version A leads; the second structure lies 629 meV per atom higher.

Version A
The following is a DFT calculation (PBE) of a relaxed structure of NaAs2AuBr.

Output
- Theoretical density: 5.5 g/cm³

The structure in POSCAR format:
```
NaAs2AuBr
1.0
-1.5531 4.5568 1.8093
1.0786 -1.5339 4.7890
4.7336 1.8069 -0.4874
Na As Au Br
1 2 1 1
direct
0.0000 0.0000 0.0000
0.0000 0.5000 0.0000
0.5000 0.0000 0.0000
0.5000 0.5000 0.5000
0.0000 0.0000 0.5000
```

Version B
The following is a DFT calculation (PBE) of a relaxed structure of NaAs2AuBr.

Output
- Theoretical density: 4.2 g/cm³

The structure in POSCAR format:
```
NaAs2AuBr
1.0
-1.3955 -1.9433 4.2341
3.2621 -3.5632 -0.5602
5.1683 4.1633 3.6142
Na As Au Br
1 2 1 1
direct
0.5000 0.5000 0.5000
0.0000 0.5000 0.0000
0.5000 0.0000 0.0000
0.0000 0.0000 0.0000
0.0000 0.0000 0.5000
```

In terms of stability, version B leads; the second structure lies 760 meV per atom higher.

Version A
The following is a DFT calculation (PBE) of a relaxed structure of NaAsAuBr2.

Output
- Theoretical density: 4.8 g/cm³

The structure in POSCAR format:
```
NaAsAuBr2
1.0
-4.2861 -2.7335 -1.4966
2.8356 -2.3651 -3.8011
1.3768 -4.1271 3.5950
Na As Au Br
1 1 1 2
direct
0.0000 0.0000 0.0000
0.0000 0.0000 0.5000
0.5000 0.5000 0.5000
0.0000 0.5000 0.0000
0.5000 0.0000 0.0000
```

Version B
The following is a DFT calculation (PBE) of a relaxed structure of NaAsAuBr2.

Output
- Theoretical density: 4.8 g/cm³

The structure in POSCAR format:
```
NaAsAuBr2
1.0
5.6789 0.0000 0.0000
0.0000 4.9124 0.0000
0.0000 0.0000 5.6789
Na As Au Br
1 1 1 2
direct
0.5000 0.5000 0.5000
0.0000 0.5000 0.0000
0.0000 0.0000 0.0000
0.0000 0.0000 0.5000
0.5000 0.0000 0.0000
```

In terms of stability, version B leads; the second structure lies 641 meV per atom higher.

Version A
The following is a DFT calculation (PBE) of a relaxed structure of NbAsAuBr2.

Output
- Theoretical density: 6.3 g/cm³

The structure in POSCAR format:
```
NbAsAuBr2
1.0
5.1791 0.0000 0.0000
0.0000 5.1791 0.0000
0.0000 0.0000 5.1434
Nb Au As Br
1 1 1 2
direct
0.5000 0.5000 0.5000
0.0000 0.0000 0.0000
0.0000 0.0000 0.5000
0.0000 0.5000 0.0000
0.5000 0.0000 0.0000
```

Version B
The following is a DFT calculation (PBE) of a relaxed structure of NbAsAuBr2.

Output
- Theoretical density: 6.5 g/cm³

The structure in POSCAR format:
```
NbAsAuBr2
1.0
-3.6402 3.4866 0.1334
-3.4452 -3.5612 -0.9353
-0.5748 -0.7972 5.1525
Nb Au As Br
1 1 1 2
direct
0.0000 0.0000 0.0000
0.5000 0.5000 0.5000
0.0000 0.0000 0.5000
0.0000 0.5000 0.0000
0.5000 0.0000 0.0000
```

In terms of stability, version B leads; the second structure lies 725 meV per atom higher.

Version A
The following is a DFT calculation (PBE) of a relaxed structure of NiAs2AuBr.

Output
- Theoretical density: 7.6 g/cm³

The structure in POSCAR format:
```
NiAs2AuBr
1.0
4.6181 0.0000 0.0000
0.0000 4.6181 0.0000
0.0000 0.0000 4.9844
Ni As Au Br
1 2 1 1
direct
0.0000 0.0000 0.0000
0.0000 0.5000 0.0000
0.5000 0.0000 0.0000
0.5000 0.5000 0.5000
0.0000 0.0000 0.5000
```

Version B
The following is a DFT calculation (PBE) of a relaxed structure of NiAs2AuBr.

Output
- Theoretical density: 6.0 g/cm³

The structure in POSCAR format:
```
NiAs2AuBr
1.0
5.0289 0.0000 0.0000
0.0000 5.0289 0.0000
0.0000 0.0000 5.2922
Ni As Au Br
1 2 1 1
direct
0.5000 0.5000 0.5000
0.0000 0.5000 0.0000
0.5000 0.0000 0.0000
0.0000 0.0000 0.0000
0.0000 0.0000 0.5000
```

In terms of stability, version A leads; the second structure lies 651 meV per atom higher.

Version A
The following is a DFT calculation (PBE) of a relaxed structure of As2AuBrO.

Output
- Theoretical density: 6.6 g/cm³

The structure in POSCAR format:
```
As2AuBrO
1.0
4.1052 0.0000 0.0000
0.0000 4.1052 0.0000
0.0000 0.0000 6.5794
As Au O Br
2 1 1 1
direct
0.0000 0.5000 0.0000
0.5000 0.0000 0.0000
0.5000 0.5000 0.5000
0.0000 0.0000 0.0000
0.0000 0.0000 0.5000
```

Version B
The following is a DFT calculation (PBE) of a relaxed structure of As2AuBrO.

Output
- Theoretical density: 5.4 g/cm³

The structure in POSCAR format:
```
As2AuBrO
1.0
5.0453 0.0000 0.0000
0.0000 5.0453 0.0000
0.0000 0.0000 5.3211
As Au O Br
2 1 1 1
direct
0.0000 0.5000 0.0000
0.5000 0.0000 0.0000
0.0000 0.0000 0.0000
0.5000 0.5000 0.5000
0.0000 0.0000 0.5000
```

In terms of stability, version A leads; the second structure lies 744 meV per atom higher.